Li2Sm2ThSi2 | PBE-GGA | relaxed

Calculated values
**SG**: R-3m (166)
**Formation energy from raw total energies**: -0.35 eV/atom
**Size of the total moment**: 0.000 Bohr magnetons per cell
**Calculated volume**: 22.80 Å³/atom

Geometry as POSCAR:
```
Li2Sm2ThSi2
1.0
2.238 1.292 9.197
-2.238 1.292 9.197
0.000 -2.585 9.197
Li Sm Th Si
2 2 1 2
direct
0.098 0.098 0.098 Li
0.902 0.902 0.902 Li
0.374 0.374 0.374 Sm
0.626 0.626 0.626 Sm
0.500 0.500 0.500 Th
0.234 0.234 0.234 Si
0.766 0.766 0.766 Si
```

---

Li2SmTm2Si2 | PBE-GGA | relaxed

Calculated values
**SG**: R-3m (166)
**Formation energy from raw total energies**: -0.39 eV/atom
**Size of the total moment**: 0.000 Bohr magnetons per cell
**Calculated volume**: 21.35 Å³/atom

Geometry as POSCAR:
```
Li2SmTm2Si2
1.0
2.229 1.287 8.680
-2.229 1.287 8.680
0.000 -2.574 8.680
Li Sm Tm Si
2 1 2 2
direct
0.094 0.094 0.094 Li
0.906 0.906 0.906 Li
0.500 0.500 0.500 Sm
0.371 0.371 0.371 Tm
0.629 0.629 0.629 Tm
0.241 0.241 0.241 Si
0.759 0.759 0.759 Si
```

---

LiSmTmSi | PBE-GGA | relaxed

Calculated values
**SG**: F-43m (216)
**Formation energy from raw total energies**: -0.34 eV/atom
**Size of the total moment**: 0.000 Bohr magnetons per cell
**Calculated volume**: 21.92 Å³/atom

Geometry as POSCAR:
```
LiSmTmSi
1.0
0.000 3.526 3.526
3.526 0.000 3.526
3.526 3.526 0.000
Li Sm Tm Si
1 1 1 1
direct
0.000 0.000 0.000 Li
0.250 0.250 0.250 Sm
0.750 0.750 0.750 Tm
0.500 0.500 0.500 Si
```

---

LiSmYSi | PBE-GGA | relaxed

Calculated values
**SG**: F-43m (216)
**Formation energy from raw total energies**: -0.37 eV/atom
**Size of the total moment**: 0.000 Bohr magnetons per cell
**Calculated volume**: 22.50 Å³/atom

Geometry as POSCAR:
```
LiSmYSi
1.0
0.000 3.557 3.557
3.557 0.000 3.557
3.557 3.557 0.000
Li Sm Y Si
1 1 1 1
direct
0.000 0.000 0.000 Li
0.750 0.750 0.750 Sm
0.250 0.250 0.250 Y
0.500 0.500 0.500 Si
```

---

Li2SmY2Si2 | PBE-GGA | relaxed

Calculated values
**SG**: R-3m (166)
**Formation energy from raw total energies**: -0.41 eV/atom
**Size of the total moment**: 0.000 Bohr magnetons per cell
**Calculated volume**: 22.03 Å³/atom

Geometry as POSCAR:
```
Li2SmY2Si2
1.0
2.225 1.284 8.996
-2.225 1.284 8.996
0.000 -2.569 8.996
Li Sm Y Si
2 1 2 2
direct
0.099 0.099 0.099 Li
0.901 0.901 0.901 Li
0.500 0.500 0.500 Sm
0.373 0.373 0.373 Y
0.627 0.627 0.627 Y
0.238 0.238 0.238 Si
0.762 0.762 0.762 Si
```

---

LiSm2Zn4Si3 | PBE-GGA | relaxed

Calculated values
**SG**: P-4m2 (115)
**Formation energy from raw total energies**: -0.42 eV/atom
**Size of the total moment**: 0.000 Bohr magnetons per cell
**Calculated volume**: 17.83 Å³/atom

Geometry as POSCAR:
```
LiSm2Zn4Si3
1.0
4.105 0.000 0.000
0.000 4.105 0.000
0.000 0.000 10.582
Li Sm Zn Si
1 2 4 3
direct
0.000 0.000 0.000 Li
0.000 0.500 0.746 Sm
0.500 0.000 0.254 Sm
0.000 0.000 0.500 Zn
0.000 0.500 0.130 Zn
0.500 0.000 0.870 Zn
0.500 0.500 0.500 Zn
0.000 0.500 0.357 Si
0.500 0.000 0.643 Si
0.500 0.500 0.000 Si
```

---

Li2Si2Sn | PBE-GGA | relaxed

Calculated values
**SG**: I4/mmm (139)
**Formation energy from raw total energies**: 0.02 eV/atom
**Size of the total moment**: 0.000 Bohr magnetons per cell
**Calculated volume**: 18.62 Å³/atom

Geometry as POSCAR:
```
Li2Si2Sn
1.0
-2.019 2.019 5.709
2.019 -2.019 5.709
2.019 2.019 -5.709
Li Si Sn
2 2 1
direct
0.250 0.750 0.500 Li
0.750 0.250 0.500 Li
0.100 0.100 0.000 Si
0.900 0.900 0.000 Si
0.500 0.500 0.000 Sn
```

---

Li2Si2Sn | PBE-GGA | relaxed

Calculated values
**SG**: P4/mbm (127)
**Formation energy from raw total energies**: -0.05 eV/atom
**Size of the total moment**: 0.000 Bohr magnetons per cell
**Calculated volume**: 17.34 Å³/atom

Geometry as POSCAR:
```
Li2Si2Sn
1.0
7.556 0.000 0.000
0.000 7.556 0.000
0.000 0.000 3.037
Li Si Sn
4 4 2
direct
0.186 0.314 0.000 Li
0.314 0.814 0.000 Li
0.686 0.186 0.000 Li
0.814 0.686 0.000 Li
0.110 0.610 0.500 Si
0.390 0.110 0.500 Si
0.610 0.890 0.500 Si
0.890 0.390 0.500 Si
0.000 0.000 0.500 Sn
0.500 0.500 0.500 Sn
```

---

Li3SiSn | PBE-GGA | relaxed

Calculated values
**SG**: Pm-3m (221)
**Formation energy from raw total energies**: 0.48 eV/atom
**Size of the total moment**: 0.000 Bohr magnetons per cell
**Calculated volume**: 24.76 Å³/atom

Geometry as POSCAR:
```
Li3SiSn
1.0
4.984 0.000 0.000
0.000 4.984 0.000
0.000 0.000 4.984
Li Si Sn
3 1 1
direct
0.000 0.000 0.500 Li
0.000 0.500 0.000 Li
0.500 0.000 0.000 Li
0.500 0.500 0.500 Si
0.000 0.000 0.000 Sn
```

---

Li3SiSn | PBE-GGA | relaxed

Calculated values
**SG**: Ima2 (46)
**Formation energy from raw total energies**: -0.11 eV/atom
**Size of the total moment**: 0.000 Bohr magnetons per cell
**Calculated volume**: 21.33 Å³/atom

Geometry as POSCAR:
```
Li3SiSn
1.0
-4.163 3.352 3.820
4.163 -3.352 3.820
4.163 3.352 -3.820
Li Si Sn
6 2 2
direct
0.206 0.051 0.257 Li
0.206 0.449 0.654 Li
0.656 0.962 0.194 Li
0.768 0.462 0.806 Li
0.794 0.551 0.346 Li
0.794 0.949 0.743 Li
0.129 0.777 0.851 Si
0.926 0.277 0.149 Si
0.327 0.611 0.217 Sn
0.394 0.111 0.783 Sn
```

---

Li8Si2Sn | PBE-GGA | relaxed

Calculated values
**SG**: C2/m (12)
**Formation energy from raw total energies**: -0.13 eV/atom
**Size of the total moment**: 0.000 Bohr magnetons per cell
**Calculated volume**: 16.42 Å³/atom

Geometry as POSCAR:
```
Li8Si2Sn
1.0
3.679 -6.646 0.000
3.679 6.646 0.000
-2.616 0.000 3.694
Li Si Sn
8 2 1
direct
0.086 0.369 0.711 Li
0.211 0.789 0.000 Li
0.369 0.086 0.711 Li
0.429 0.429 0.203 Li
0.571 0.571 0.797 Li
0.631 0.914 0.289 Li
0.789 0.211 0.000 Li
0.914 0.631 0.289 Li
0.323 0.677 0.500 Si
0.677 0.323 0.500 Si
0.000 0.000 0.000 Sn
```

---

Li3SiSn | PBE-GGA | relaxed

Calculated values
**SG**: Pm-3m (221)
**Formation energy from raw total energies**: 0.12 eV/atom
**Size of the total moment**: 0.000 Bohr magnetons per cell
**Calculated volume**: 21.12 Å³/atom

Geometry as POSCAR:
```
Li3SiSn
1.0
4.727 0.000 0.000
0.000 4.727 0.000
0.000 0.000 4.727
Li Si Sn
3 1 1
direct
0.000 0.000 0.500 Li
0.000 0.500 0.000 Li
0.500 0.000 0.000 Li
0.000 0.000 0.000 Si
0.500 0.500 0.500 Sn
```

---

LiSi2Sn2 | PBE-GGA | relaxed

Calculated values
**SG**: I4/mmm (139)
**Formation energy from raw total energies**: 0.15 eV/atom
**Size of the total moment**: 0.000 Bohr magnetons per cell
**Calculated volume**: 22.96 Å³/atom

Geometry as POSCAR:
```
LiSi2Sn2
1.0
-2.587 2.587 4.288
2.587 -2.587 4.288
2.587 2.587 -4.288
Li Si Sn
1 2 2
direct
0.000 0.000 0.000 Li
0.364 0.364 0.000 Si
0.636 0.636 0.000 Si
0.250 0.750 0.500 Sn
0.750 0.250 0.500 Sn
```

---

LiSi3Sn | PBE-GGA | relaxed

Calculated values
**SG**: Pm-3m (221)
**Formation energy from raw total energies**: 0.74 eV/atom
**Size of the total moment**: 0.000 Bohr magnetons per cell
**Calculated volume**: 18.87 Å³/atom

Geometry as POSCAR:
```
LiSi3Sn
1.0
4.552 0.000 0.000
0.000 4.552 0.000
0.000 0.000 4.552
Li Si Sn
1 3 1
direct
0.000 0.000 0.000 Li
0.000 0.000 0.500 Si
0.000 0.500 0.000 Si
0.500 0.000 0.000 Si
0.500 0.500 0.500 Sn
```

---

LiSi2Sn2 | PBE-GGA | relaxed

Calculated values
**SG**: I4/mmm (139)
**Formation energy from raw total energies**: 0.11 eV/atom
**Size of the total moment**: 0.000 Bohr magnetons per cell
**Calculated volume**: 20.74 Å³/atom

Geometry as POSCAR:
```
LiSi2Sn2
1.0
-1.718 1.718 8.787
1.718 -1.718 8.787
1.718 1.718 -8.787
Li Si Sn
1 2 2
direct
0.000 0.000 0.000 Li
0.250 0.750 0.500 Si
0.750 0.250 0.500 Si
0.397 0.397 0.000 Sn
0.603 0.603 0.000 Sn
```

---

LiSi2Sn | PBE-GGA | relaxed

Calculated values
**SG**: I-42d (122)
**Formation energy from raw total energies**: 0.27 eV/atom
**Size of the total moment**: 0.000 Bohr magnetons per cell
**Calculated volume**: 20.17 Å³/atom

Geometry as POSCAR:
```
LiSi2Sn
1.0
-3.901 3.901 2.651
3.901 -3.901 2.651
3.901 3.901 -2.651
Li Si Sn
2 4 2
direct
0.000 0.000 0.000 Li
0.750 0.250 0.500 Li
0.157 0.625 0.032 Si
0.375 0.407 0.532 Si
0.593 0.125 0.968 Si
0.875 0.843 0.468 Si
0.250 0.750 0.500 Sn
0.500 0.500 0.000 Sn
```

---

Li2TiSiSn | PBE-GGA | relaxed

Calculated values
**SG**: P4/mmm (123)
**Formation energy from raw total energies**: 0.99 eV/atom
**Size of the total moment**: 2.488 Bohr magnetons per cell
**Calculated volume**: 25.42 Å³/atom

Geometry as POSCAR:
```
Li2TiSiSn
1.0
4.918 0.000 0.000
0.000 4.918 0.000
0.000 0.000 5.255
Li Ti Si Sn
2 1 1 1
direct
0.000 0.500 0.000 Li
0.500 0.000 0.000 Li
0.000 0.000 0.000 Ti
0.500 0.500 0.500 Si
0.000 0.000 0.500 Sn
```

---

LiZnSi2Sn | PBE-GGA | relaxed

Calculated values
**SG**: P4/mmm (123)
**Formation energy from raw total energies**: 0.48 eV/atom
**Size of the total moment**: 0.000 Bohr magnetons per cell
**Calculated volume**: 20.65 Å³/atom

Geometry as POSCAR:
```
LiZnSi2Sn
1.0
4.727 0.000 0.000
0.000 4.727 0.000
0.000 0.000 4.621
Li Zn Si Sn
1 1 2 1
direct
0.000 0.000 0.000 Li
0.000 0.000 0.500 Zn
0.000 0.500 0.500 Si
0.500 0.000 0.500 Si
0.500 0.500 0.000 Sn
```

---

Sr3Li3Si2 | PBE-GGA | relaxed

Calculated values
**SG**: Pnma (62)
**Formation energy from raw total energies**: -0.23 eV/atom
**Size of the total moment**: 3.280 Bohr magnetons per cell
**Calculated volume**: 26.89 Å³/atom

Geometry as POSCAR:
```
Sr3Li3Si2
1.0
8.679 0.000 0.000
0.000 16.331 0.000
0.000 0.000 6.071
Sr Li Si
12 12 8
direct
0.042 0.100 0.130 Sr
0.042 0.400 0.130 Sr
0.155 0.250 0.661 Sr
0.345 0.750 0.161 Sr
0.458 0.600 0.630 Sr
0.458 0.900 0.630 Sr
0.542 0.100 0.370 Sr
0.542 0.400 0.370 Sr
0.655 0.250 0.839 Sr
0.845 0.750 0.339 Sr
0.958 0.600 0.870 Sr
0.958 0.900 0.870 Sr
0.160 0.037 0.609 Li
0.160 0.463 0.609 Li
0.161 0.750 0.594 Li
0.339 0.250 0.094 Li
0.340 0.537 0.109 Li
0.340 0.963 0.109 Li
0.660 0.037 0.891 Li
0.660 0.463 0.891 Li
0.661 0.750 0.906 Li
0.839 0.250 0.406 Li
0.840 0.537 0.391 Li
0.840 0.963 0.391 Li
0.126 0.604 0.368 Si
0.126 0.896 0.368 Si
0.374 0.104 0.868 Si
0.374 0.396 0.868 Si
0.626 0.604 0.132 Si
0.626 0.896 0.132 Si
0.874 0.104 0.632 Si
0.874 0.396 0.632 Si
```

---

Sr2Li2Si | PBE-GGA | relaxed

Calculated values
**SG**: I4/mmm (139)
**Formation energy from raw total energies**: -0.04 eV/atom
**Size of the total moment**: 0.000 Bohr magnetons per cell
**Calculated volume**: 30.05 Å³/atom

Geometry as POSCAR:
```
Sr2Li2Si
1.0
-1.914 1.914 10.253
1.914 -1.914 10.253
1.914 1.914 -10.253
Sr Li Si
2 2 1
direct
0.091 0.091 0.000 Sr
0.909 0.909 0.000 Sr
0.250 0.750 0.500 Li
0.750 0.250 0.500 Li
0.500 0.500 0.000 Si
```